Below is a relaxed Li4Mn3CoO8 crystal, with properties calculated at the GGA+U level.

Geometry as extended XYZ:
```
16
Lattice="1.429 4.899 0.015 -1.429 4.899 0.015 0.000 1.016 10.837" Properties=species:S:1:pos:R:3 pbc="T T T"
O 0.000 1.473 3.281
O 0.000 6.069 0.579
O 0.000 9.340 7.586
O 0.000 4.744 10.288
O 0.000 6.596 6.044
O 0.000 4.217 4.823
O 0.000 8.888 2.086
O 0.000 1.925 8.781
Li 0.000 3.071 6.787
Li 0.000 8.191 9.538
Li 0.000 2.622 1.329
Li 0.000 7.742 4.080
Mn 0.000 5.626 8.196
Mn 0.000 0.508 5.419
Mn 0.000 5.187 2.671
Co 0.000 0.000 0.000
```

Summary:
The value obtained for the mass density is 4.15 g cm⁻³. Its energy above the lowest structure with this stoichiometry is 3 meV per atom.